Entry from the Alexandria database: a geometry-optimized TaCuSbI2 structure (PBE-GGA).

The space group is P4/mmm (No. 123) and the conventional cell measures 5.1707, 5.1707 and 5.1601 Å, with angles of 90.00, 90.00 and 90.00 degrees. The distinct sites, in fractional coordinates, are Ta at (0.0000, 0.0000, 0.0000), Cu at (0.5000, 0.5000, 0.5000), Sb at (0.5000, 0.5000, 0.0000) and I at (0.0000, 0.5000, 0.5000).

The value obtained for the uncorrected formation energy is 1.1608 eV/atom. As for the total energy: -3.474 eV per atom. The value obtained for the polymorph energy (0 for the lowest one) is 2.05 eV per formula unit.